## A
# Zn2Sn2Te

A relaxed structure of Zn2Sn2Te (PBE-GGA, the Alexandria database).

Unit cell a=3.887 b=3.887 c=16.195 alpha=90.00 beta=90.00 gamma=90.00
Space group I4/mmm (No. 139)
Symmetry-distinct sites (fractional):
Zn  0.000  0.500  0.250
Sn  0.000  0.000  0.111
Te  0.000  0.000  0.500

D(E_F)   6.20 states/eV/cell

## B
# Zn2Sn2Te

A relaxed structure of Zn2Sn2Te (PBE-GGA, the Alexandria database).

Unit cell a=4.544 b=4.544 c=11.995 alpha=90.00 beta=90.00 gamma=90.00
Space group I4/mmm (No. 139)
Symmetry-distinct sites (fractional):
Zn  0.000  0.000  0.101
Sn  0.000  0.500  0.250
Te  0.000  0.000  0.500

D(E_F)   4.66 states/eV/cell

## C
# Zn2Sn2Te

A relaxed structure of Zn2Sn2Te (PBE-GGA, the Alexandria database).

Unit cell a=8.308 b=8.308 c=3.433 alpha=90.00 beta=90.00 gamma=90.00
Space group P4/mbm (No. 127)
Symmetry-distinct sites (fractional):
Zn  0.162  0.338  0.000
Sn  0.135  0.635  0.500
Te  0.000  0.000  0.000

D(E_F)   3.81 states/eV/cell

Stability, lowest: B

## A
# ZnSnTe2

A relaxed structure of ZnSnTe2 (PBE-GGA, the Alexandria database).

Unit cell a=3.6987 b=3.6987 c=29.7071 alpha=90.00 beta=90.00 gamma=120.00
Space group R-3m (No. 166, hexagonal axes)
Symmetry-distinct sites (fractional):
Zn  0.0000  0.0000  0.0000
Sn  0.0000  0.0000  0.5000
Te  0.0000  0.0000  0.3931

D(E_F)   7.53 states/eV/cell

## B
# ZnSnTe2

A relaxed structure of ZnSnTe2 (PBE-GGA, the Alexandria database).

Unit cell a=3.3367 b=3.3367 c=34.3875 alpha=90.00 beta=90.00 gamma=120.00
Space group R-3m (No. 166, hexagonal axes)
Symmetry-distinct sites (fractional):
Zn  0.0000  0.0000  0.0000
Sn  0.0000  0.0000  0.5000
Te  0.0000  0.0000  0.0800

D(E_F)   9.50 states/eV/cell

Stability, lowest: B

## A
# ZnSnTe2

A relaxed structure of ZnSnTe2 (PBE-GGA, the Alexandria database).

Unit cell a=7.523 b=7.523 c=7.523 alpha=90.00 beta=90.00 gamma=90.00
Space group Fm-3m (No. 225)
Symmetry-distinct sites (fractional):
Zn  0.000  0.000  0.000
Sn  0.000  0.000  0.500
Te  0.250  0.250  0.250

D(E_F)   9.59 states/eV/cell

## B
# ZnSnTe2

A relaxed structure of ZnSnTe2 (PBE-GGA, the Alexandria database).

Unit cell a=6.920 b=6.920 c=12.367 alpha=90.00 beta=90.00 gamma=90.00
Space group I-42d (No. 122)
Symmetry-distinct sites (fractional):
Zn  0.000  0.000  0.000
Sn  0.000  0.000  0.500
Te  0.197  0.250  0.125

D(E_F)   0.00 states/eV/cell

Stability, lowest: A